--- 1 ---
A plane-wave DFT calculation with PBE was carried out for SrAcHgRh after structural relaxation.

Summary:
DOS at the Fermi energy = 2.72 states/eV per cell

Geometry as extended XYZ:
```
4
Lattice="4.3321 0.0000 0.0000 0.0000 2.1883 6.2812 0.0000 -2.1883 6.2812" Properties=species:S:1:pos:R:3 pbc="T T T"
Sr 0.0000 0.0000 0.0000
Ac 2.1660 0.0000 3.5645
Hg 2.1660 0.0000 7.3081
Rh 0.0000 0.0000 9.3520
```

=====

--- 2 ---
A plane-wave DFT calculation with PBE was carried out for SrAcHgRh after structural relaxation.

Summary:
DOS at the Fermi energy = 4.27 states/eV per cell

Geometry as extended XYZ:
```
4
Lattice="0.0000 3.8394 3.8394 3.8394 0.0000 3.8394 3.8394 3.8394 0.0000" Properties=species:S:1:pos:R:3 pbc="T T T"
Sr 0.0000 0.0000 0.0000
Ac 3.8394 3.8394 3.8394
Hg 1.9197 1.9197 1.9197
Rh 5.7592 5.7592 5.7592
```

=====

What should be chosen as the least stable of them? Choose 2.

=====

--- 1 ---
A plane-wave DFT calculation with PBE was carried out for AcThHgRh after structural relaxation.

Summary:
DOS at the Fermi energy = 4.33 states/eV per cell

Geometry as extended XYZ:
```
4
Lattice="0.0000 3.7864 3.7864 3.7864 0.0000 3.7864 3.7864 3.7864 0.0000" Properties=species:S:1:pos:R:3 pbc="T T T"
Ac 0.0000 0.0000 0.0000
Th 3.7864 3.7864 3.7864
Hg 5.6796 5.6796 5.6796
Rh 1.8932 1.8932 1.8932
```

=====

--- 2 ---
A plane-wave DFT calculation with PBE was carried out for AcThHgRh after structural relaxation.

Summary:
DOS at the Fermi energy = 2.86 states/eV per cell

Geometry as extended XYZ:
```
4
Lattice="3.6306 -2.0957 0.0000 3.6306 2.0957 0.0000 -2.4303 0.0000 8.0912" Properties=species:S:1:pos:R:3 pbc="T T T"
Ac 0.0000 0.0000 0.0000
Th -0.0055 0.0000 4.7991
Hg 4.8390 0.0000 2.5355
Rh 2.4128 0.0000 6.2364
```

=====

What should be chosen as the least stable of them? Choose 1.

=====

--- 1 ---
A plane-wave DFT calculation with PBE was carried out for Ac6Hg3Ru after structural relaxation.

Summary:
DOS at the Fermi energy = 21.55 states/eV per cell

Geometry as extended XYZ:
```
20
Lattice="6.5966 3.8086 4.9580 -6.5966 3.8086 4.9580 0.0000 -7.6171 4.9580" Properties=species:S:1:pos:R:3 pbc="T T T"
Ac -5.7939 -1.6037 8.2104
Ac -1.5081 -5.8195 6.6636
Ac -1.5081 -1.7976 5.7314
Ac -4.2858 4.2158 6.6635
Ac -0.8027 2.2048 5.7314
Ac -2.3108 0.4072 9.1425
Ac 2.3108 -0.4072 5.7314
Ac 0.8027 -2.2048 9.1425
Ac 4.2858 -4.2158 8.2104
Ac 1.5081 1.7976 9.1425
Ac 1.5081 5.8195 8.2104
Ac 5.7939 1.6037 6.6636
Hg -3.9942 0.6990 6.1975
Hg -2.6024 -3.1096 8.6765
Hg 1.3918 -3.8086 6.1975
Hg -1.3918 3.8086 8.6765
Hg 2.6024 3.1096 6.1975
Hg 3.9942 -0.6990 8.6765
Ru 0.0000 0.0000 0.0000
Ru 0.0000 0.0000 7.4370
```

=====

--- 2 ---
A plane-wave DFT calculation with PBE was carried out for Ac6Hg3Ru after structural relaxation.

Summary:
DOS at the Fermi energy = 20.63 states/eV per cell

Geometry as extended XYZ:
```
20
Lattice="8.2853 0.0000 0.0000 0.0000 8.2883 0.0000 -6.6098 0.0000 11.0174" Properties=species:S:1:pos:R:3 pbc="T T T"
Ac -1.0531 0.4580 2.6774
Ac -4.3580 3.6862 8.1861
Ac 1.3108 5.7584 0.8915
Ac -1.9941 6.6741 6.4002
Ac 2.4009 1.4520 0.7077
Ac -0.9040 2.6922 6.2164
Ac 2.5795 5.5961 4.8010
Ac -0.7254 6.8364 10.3097
Ac 3.6696 1.6143 4.6172
Ac 0.3647 2.5299 10.1259
Ac 6.0335 4.6022 2.8313
Ac 2.7286 7.8303 8.3400
Hg -2.4409 0.9321 8.6906
Hg 0.8640 3.2121 3.1819
Hg 0.8378 0.0000 5.5087
Hg 4.1427 4.1442 0.0000
Hg 0.8116 5.0762 7.8355
Hg 4.1165 7.3563 2.3268
Ru 0.0000 0.0000 0.0000
Ru -3.3049 4.1442 5.5087
```

=====

What should be chosen as the least stable of them? Choose 1.

=====

--- 1 ---
A plane-wave DFT calculation with PBE was carried out for Ac2HgRu after structural relaxation.

Summary:
DOS at the Fermi energy = 4.43 states/eV per cell

Geometry as extended XYZ:
```
4
Lattice="0.0000 3.8635 3.8635 3.8635 0.0000 3.8635 3.8635 3.8635 0.0000" Properties=species:S:1:pos:R:3 pbc="T T T"
Ac 1.9317 1.9317 1.9317
Ac 5.7952 5.7952 5.7952
Hg 0.0000 0.0000 0.0000
Ru 3.8635 3.8635 3.8635
```

=====

--- 2 ---
A plane-wave DFT calculation with PBE was carried out for Ac2HgRu after structural relaxation.

Summary:
DOS at the Fermi energy = 1.86 states/eV per cell

Geometry as extended XYZ:
```
4
Lattice="2.1261 1.2275 10.1915 -2.1261 1.2275 10.1915 0.0000 -2.4550 10.1915" Properties=species:S:1:pos:R:3 pbc="T T T"
Ac 0.0000 0.0000 3.5072
Ac 0.0000 0.0000 27.0672
Hg 0.0000 0.0000 0.0000
Ru 0.0000 0.0000 15.2872
```

=====

--- 3 ---
A plane-wave DFT calculation with PBE was carried out for Ac2HgRu after structural relaxation.

Summary:
DOS at the Fermi energy = 1.93 states/eV per cell

Geometry as extended XYZ:
```
4
Lattice="2.1643 1.2495 8.1286 -2.1643 1.2495 8.1286 0.0000 -2.4991 8.1286" Properties=species:S:1:pos:R:3 pbc="T T T"
Ac 0.0000 0.0000 0.0000
Ac 0.0000 0.0000 4.9748
Hg 0.0000 0.0000 10.6301
Ru 0.0000 0.0000 14.6661
```

=====

What should be chosen as the least stable of them? Choose 2.

=====

--- 1 ---
A plane-wave DFT calculation with PBE was carried out for Ac2HgSb after structural relaxation.

Summary:
DOS at the Fermi energy = 3.83 states/eV per cell

Geometry as extended XYZ:
```
4
Lattice="2.2703 1.3108 8.6110 -2.2703 1.3108 8.6110 0.0000 -2.6216 8.6110" Properties=species:S:1:pos:R:3 pbc="T T T"
Ac 0.0000 0.0000 0.0000
Ac 0.0000 0.0000 4.5501
Hg 0.0000 0.0000 19.5189
Sb 0.0000 0.0000 15.1829
```

=====

--- 2 ---
A plane-wave DFT calculation with PBE was carried out for Ac2HgSb after structural relaxation.

Summary:
DOS at the Fermi energy = 6.39 states/eV per cell

Geometry as extended XYZ:
```
8
Lattice="2.2937 -13.1731 0.0000 2.2937 13.1731 0.0000 0.0000 0.0000 4.9356" Properties=species:S:1:pos:R:3 pbc="T T T"
Ac 2.2937 11.4997 3.7017
Ac 2.2937 4.8712 3.7017
Ac 2.2937 -4.8712 1.2339
Ac 2.2937 -11.4997 1.2339
Hg 2.2937 1.1018 3.7017
Hg 2.2937 -1.1018 1.2339
Sb 2.2937 8.2155 3.7017
Sb 2.2937 -8.2155 1.2339
```

=====

--- 3 ---
A plane-wave DFT calculation with PBE was carried out for Ac2HgSb after structural relaxation.

Summary:
DOS at the Fermi energy = 3.38 states/eV per cell

Geometry as extended XYZ:
```
4
Lattice="5.5997 0.0000 0.0000 0.0000 5.5997 0.0000 0.0000 0.0000 4.2719" Properties=species:S:1:pos:R:3 pbc="T T T"
Ac 0.0000 2.7999 0.0000
Ac 2.7999 0.0000 0.0000
Hg 0.0000 0.0000 2.1359
Sb 2.7999 2.7999 2.1359
```

=====

--- 4 ---
A plane-wave DFT calculation with PBE was carried out for Ac2HgSb after structural relaxation.

Summary:
DOS at the Fermi energy = 4.75 states/eV per cell

Geometry as extended XYZ:
```
4
Lattice="0.0000 4.0663 4.0663 4.0663 0.0000 4.0663 4.0663 4.0663 0.0000" Properties=species:S:1:pos:R:3 pbc="T T T"
Ac 2.0331 2.0331 2.0331
Ac 6.0994 6.0994 6.0994
Hg 0.0000 0.0000 0.0000
Sb 4.0663 4.0663 4.0663
```

=====

What should be chosen as the least stable of them? Choose 4.

=====

--- 1 ---
A plane-wave DFT calculation with PBE was carried out for AcScHg4 after structural relaxation.

Summary:
DOS at the Fermi energy = 3.33 states/eV per cell

Geometry as extended XYZ:
```
6
Lattice="0.0000 4.2764 4.2764 4.2764 0.0000 4.2764 4.2764 4.2764 0.0000" Properties=species:S:1:pos:R:3 pbc="T T T"
Ac 0.0000 0.0000 0.0000
Sc 2.1382 2.1382 2.1382
Hg 5.3402 3.2125 3.2125
Hg 3.2125 5.3402 3.2125
Hg 3.2125 3.2125 5.3402
Hg 5.3402 5.3402 5.3402
```

=====

--- 2 ---
A plane-wave DFT calculation with PBE was carried out for AcScHg4 after structural relaxation.

Summary:
DOS at the Fermi energy = 4.32 states/eV per cell

Geometry as extended XYZ:
```
6
Lattice="4.6582 0.0000 0.0000 0.0000 4.6582 0.0000 0.0000 0.0000 8.4360" Properties=species:S:1:pos:R:3 pbc="T T T"
Ac 0.0000 0.0000 0.0000
Sc 2.3291 2.3291 4.2180
Hg 0.0000 2.3291 2.4380
Hg 0.0000 2.3291 5.9980
Hg 2.3291 0.0000 2.4380
Hg 2.3291 0.0000 5.9980
```

=====

What should be chosen as the least stable of them? Choose 2.